No. 1
Entry from the Alexandria database: ZrIrS2N after structural relaxation (PBE-GGA).

It has space group P4/mmm (No. 123), with a = 4.857 Å, b = 4.857 Å, c = 3.655 Å, α = 90.00°, β = 90.00° and γ = 90.00°. The distinct sites, in fractional coordinates, are Zr at (0.000, 0.000, 0.000), Ir at (0.500, 0.500, 0.500), S at (0.000, 0.500, 0.500) and N at (0.500, 0.500, 0.000).

The uncorrected formation energy is 0.055 eV/atom. As for the crystal system: tetragonal.

No. 2
Entry from the Alexandria database: SbIrN2 after structural relaxation (PBE-GGA).

It has space group R-3m (No. 166, hexagonal axes), with a = 3.1251 Å, b = 3.1251 Å, c = 18.9722 Å, α = 90.00°, β = 90.00° and γ = 120.00°. The distinct sites, in fractional coordinates, are Sb at (0.0000, 0.0000, 0.0000), Ir at (0.0000, 0.0000, 0.5000) and N at (0.0000, 0.0000, 0.3946).

The uncorrected formation energy is 0.713 eV/atom. As for the crystal system: trigonal.

No. 3
Entry from the Alexandria database: SbIr3N after structural relaxation (PBE-GGA).

It has space group Pm-3m (No. 221), with a = 4.916 Å, b = 4.916 Å, c = 4.916 Å, α = 90.00°, β = 90.00° and γ = 90.00°. The distinct sites, in fractional coordinates, are Sb at (0.000, 0.000, 0.000), Ir at (0.000, 0.000, 0.500) and N at (0.500, 0.500, 0.500).

The uncorrected formation energy is 2.882 eV/atom. As for the crystal system: cubic.

No. 4
Entry from the Alexandria database: SbIrN2 after structural relaxation (PBE-GGA).

It has space group I-42d (No. 122), with a = 5.185 Å, b = 5.185 Å, c = 9.235 Å, α = 90.00°, β = 90.00° and γ = 90.00°. The distinct sites, in fractional coordinates, are Sb at (0.000, 0.000, 0.000), Ir at (0.000, 0.000, 0.500) and N at (0.191, 0.250, 0.625).

The uncorrected formation energy is 0.899 eV/atom. As for the crystal system: tetragonal.